(1)
PrZnPd6 | PBE | optimized geometry

For the formation enthalpy at 0 K, the calculation gives -2.6 eV per formula unit. For the magnetic moment, the calculation gives 0.0 Bohr magnetons per cell. The total DFT energy (no corrections) is -4.9711 eV/atom.

The structure belongs to space group P4/mmm (No. 123); the cell edges are 4.018, 4.018 and 9.275 Å and the angles 90.00°, 90.00° and 90.00°. The inequivalent atoms are Pr at (0.000, 0.000, 0.000), Zn at (0.000, 0.000, 0.500), Pd at (0.000, 0.500, 0.332) and Pd at (0.500, 0.500, 0.139).



(2)
Pr2Zn5Pd4 | PBE | optimized geometry

For the formation enthalpy at 0 K, the calculation gives -6.6 eV per formula unit. For the magnetic moment, the calculation gives 0.0 Bohr magnetons per cell. The total DFT energy (no corrections) is -3.9371 eV/atom.

The structure belongs to space group Fmmm (No. 69); the cell edges are 5.392, 9.423 and 16.580 Å and the angles 90.00°, 90.00° and 90.00°. The inequivalent atoms are Pr at (0.000, 0.000, 0.144), Zn at (0.000, 0.000, 0.500), Zn at (0.250, 0.250, 0.000), Zn at (0.250, 0.250, 0.250) and Pd at (0.000, 0.159, 0.372).



(3)
Pr8ZnPd2 | PBE | optimized geometry

For the formation enthalpy at 0 K, the calculation gives -3.4 eV per formula unit. For the magnetic moment, the calculation gives 0.0 Bohr magnetons per cell. The total DFT energy (no corrections) is -4.8454 eV/atom.

The structure belongs to space group C2/m (No. 12); the cell edges are 18.768, 5.337 and 6.993 Å and the angles 90.00°, 109.36° and 90.00°. The inequivalent atoms are Pr at (0.028, 0.000, 0.285), Pr at (0.093, 0.500, 0.973), Pr at (0.174, 0.500, 0.506), Pr at (0.200, 0.000, 0.838), Zn at (0.000, 0.500, 0.500) and Pd at (0.171, 0.000, 0.231).



(4)
Pr2Zn15Pd2 | PBE | optimized geometry

For the formation enthalpy at 0 K, the calculation gives -6.4 eV per formula unit. For the magnetic moment, the calculation gives 0.0 Bohr magnetons per cell. The total DFT energy (no corrections) is -2.3948 eV/atom.

The structure belongs to space group R-3m (No. 166, hexagonal axes); the cell edges are 9.0656, 9.0656 and 13.3371 Å and the angles 90.00°, 90.00° and 120.00°. The inequivalent atoms are Pr at (0.0000, 0.0000, 0.1610), Zn at (0.0000, 0.2846, 0.5000), Zn at (0.0000, 0.5000, 0.0000), Zn at (0.0022, 0.5011, 0.6528) and Pd at (0.0000, 0.0000, 0.3919).



(5)
Pr3ZnPd3 | PBE | optimized geometry

For the formation enthalpy at 0 K, the calculation gives -4.9 eV per formula unit. For the magnetic moment, the calculation gives 0.0 Bohr magnetons per cell. The total DFT energy (no corrections) is -5.1606 eV/atom.

The structure belongs to space group Cmcm (No. 63); the cell edges are 4.360, 10.678 and 14.162 Å and the angles 90.00°, 90.00° and 90.00°. The inequivalent atoms are Pr at (0.000, 0.018, 0.250), Pr at (0.000, 0.294, 0.104), Zn at (0.000, 0.000, 0.000), Pd at (0.000, 0.262, 0.750) and Pd at (0.000, 0.420, 0.589).



(6)
PrZn3Pd | PBE | optimized geometry

For the formation enthalpy at 0 K, the calculation gives -2.3 eV per formula unit. For the magnetic moment, the calculation gives 0.0 Bohr magnetons per cell. The total DFT energy (no corrections) is -3.2089 eV/atom.

The structure belongs to space group Cmcm (No. 63); the cell edges are 5.958, 11.414 and 5.765 Å and the angles 90.00°, 90.00° and 90.00°. The inequivalent atoms are Pr at (0.000, 0.246, 0.250), Zn at (0.000, 0.131, 0.750), Zn at (0.238, 0.500, 0.000) and Pd at (0.000, 0.355, 0.750).